[1]
Here is crystalline LaPmSmZn at its relaxed geometry from Alexandria. Energies are from PBE.

For the formation energy, the calculation gives -0.153 eV per atom. The total DFT energy (no corrections) is -4.071 eV per atom. As for the offset from the most stable computed form: 0.000 eV/f.u.

It has space group P4mm (No. 99), with a = 3.6809 Å, b = 3.6809 Å, c = 8.8238 Å, α = 90.00°, β = 90.00° and γ = 90.00°. The asymmetric unit holds La at (0.0000, 0.0000, 0.0000), Pm at (0.5000, 0.5000, 0.2986), Sm at (0.5000, 0.5000, 0.7036) and Zn at (0.0000, 0.0000, 0.5032).


[2]
Here is crystalline LaTbAsSe at its relaxed geometry from Alexandria. Energies are from PBE.

The total DFT energy (no corrections) is -6.198 eV per atom. The raw formation energy comes out at -1.775 eV per atom.

It has space group R3m (No. 160, hexagonal axes), with a = 4.2249 Å, b = 4.2249 Å, c = 20.8482 Å, α = 90.00°, β = 90.00° and γ = 120.00°. The asymmetric unit holds La at (0.0000, 0.0000, 0.0000), Tb at (0.0000, 0.0000, 0.4932), As at (0.0000, 0.0000, 0.7513) and Se at (0.0000, 0.0000, 0.2419).


[3]
Here is crystalline KYSb2 at its relaxed geometry from Alexandria. Energies are from PBE.

The total DFT energy (no corrections) is -4.521 eV per atom. The raw formation energy comes out at -0.570 eV per atom. As for the offset from the most stable computed form: 0.349 eV/f.u.

It has space group C2/m (No. 12), with a = 7.9719 Å, b = 3.6028 Å, c = 9.4613 Å, α = 90.00°, β = 99.42° and γ = 90.00°. The asymmetric unit holds K at (0.0000, 0.0000, 0.0000), Y at (0.0000, 0.5000, 0.5000) and Sb at (0.2406, 0.0000, 0.7184).


[4]
Here is crystalline NbFeRh2 at its relaxed geometry from Alexandria. Energies are from PBE.

For the formation energy, the calculation gives -0.085 eV per atom. The total DFT energy (no corrections) is -8.394 eV per atom.

It has space group R3m (No. 160, hexagonal axes), with a = 2.7767 Å, b = 2.7767 Å, c = 26.5158 Å, α = 90.00°, β = 90.00° and γ = 120.00°. The asymmetric unit holds Nb at (0.0000, 0.0000, 0.0000), Fe at (0.0000, 0.0000, 0.8337), Rh at (0.0000, 0.0000, 0.4204) and Rh at (0.0000, 0.0000, 0.5796).


[5]
Here is crystalline SrIn2Br at its relaxed geometry from Alexandria. Energies are from PBE.

The total DFT energy (no corrections) is -2.448 eV per atom. The raw formation energy comes out at -0.240 eV per atom. As for the offset from the most stable computed form: 1.830 eV/f.u.

It has space group Cmmm (No. 65), with a = 4.2220 Å, b = 6.3298 Å, c = 9.9605 Å, α = 90.00°, β = 90.00° and γ = 90.00°. The asymmetric unit holds Sr at (0.0000, 0.0000, 0.0000), In at (0.0000, 0.5000, 0.2722) and Br at (0.0000, 0.0000, 0.5000).


[6]
Here is crystalline RbSmEr4S8 at its relaxed geometry from Alexandria. Energies are from PBE.

The total DFT energy (no corrections) is -5.960 eV per atom. The raw formation energy comes out at -1.891 eV per atom.

It has space group R3m (No. 160, hexagonal axes), with a = 8.1955 Å, b = 8.1955 Å, c = 20.4999 Å, α = 90.00°, β = 90.00° and γ = 120.00°. The asymmetric unit holds Rb at (0.0000, 0.0000, 0.0000), Sm at (0.0000, 0.0000, 0.6345), Er at (0.0000, 0.0000, 0.2547), Er at (0.1724, 0.3449, 0.4611), S at (0.0000, 0.0000, 0.3862), S at (0.0000, 0.0000, 0.8587), S at (0.0454, 0.5227, 0.3887) and S at (0.1744, 0.3487, 0.2090).


[7]
Here is crystalline Ho3TmOs at its relaxed geometry from Alexandria. Energies are from PBE.

For the formation energy, the calculation gives -0.071 eV per atom. The total DFT energy (no corrections) is -5.958 eV per atom.

It has space group Pmn2_1 (No. 31), with a = 7.6666 Å, b = 6.3804 Å, c = 6.1634 Å, α = 90.00°, β = 90.00° and γ = 90.00°. The asymmetric unit holds Ho at (0.0000, 0.1579, 0.0000), Ho at (0.2499, 0.3174, 0.5025), Tm at (0.0000, 0.8418, 0.5059) and Os at (0.0000, 0.5015, 0.2533).


[8]
Here is crystalline KBaMo2 at its relaxed geometry from Alexandria. Energies are from PBE.

For the formation energy, the calculation gives 1.670 eV per atom. The total DFT energy (no corrections) is -4.501 eV per atom. As for the offset from the most stable computed form: 3.584 eV/f.u.

It has space group R-3m (No. 166, hexagonal axes), with a = 3.0232 Å, b = 3.0232 Å, c = 37.0161 Å, α = 90.00°, β = 90.00° and γ = 120.00°. The asymmetric unit holds K at (0.0000, 0.0000, 0.0000), Ba at (0.0000, 0.0000, 0.5000) and Mo at (0.0000, 0.0000, 0.2493).


[9]
Here is crystalline MgAgTe2 at its relaxed geometry from Alexandria. Energies are from PBE.

The total DFT energy (no corrections) is -2.888 eV per atom. The raw formation energy comes out at -0.206 eV per atom.

It has space group C2/m (No. 12), with a = 6.6483 Å, b = 8.1426 Å, c = 4.4121 Å, α = 90.00°, β = 116.25° and γ = 90.00°. The asymmetric unit holds Mg at (0.0000, 0.0000, 0.0000), Ag at (0.0000, 0.5000, 0.0000) and Te at (0.2500, 0.2500, 0.5000).


[10]
Here is crystalline KTaInCl6 at its relaxed geometry from Alexandria. Energies are from PBE.

The total DFT energy (no corrections) is -4.302 eV per atom. The raw formation energy comes out at -1.328 eV per atom.

It has space group P-31c (No. 163), with a = 7.5036 Å, b = 7.5036 Å, c = 12.2234 Å, α = 90.00°, β = 90.00° and γ = 120.00°. The asymmetric unit holds K at (0.0000, 0.0000, 0.0000), Ta at (0.3333, 0.6667, 0.2500), In at (0.3333, 0.6667, 0.7500) and Cl at (0.0683, 0.4014, 0.1362).


[11]
Here is crystalline CuRe2Si at its relaxed geometry from Alexandria. Energies are from PBE.

The total DFT energy (no corrections) is -7.968 eV per atom. The raw formation energy comes out at 0.635 eV per atom.

It has space group I-42d (No. 122), with a = 6.8587 Å, b = 6.8587 Å, c = 5.0968 Å, α = 90.00°, β = 90.00° and γ = 90.00°. The asymmetric unit holds Cu at (0.0000, 0.0000, 0.0000), Re at (0.2197, 0.2500, 0.6250) and Si at (0.0000, 0.0000, 0.5000).


[12]
Here is crystalline NdYEr3 at its relaxed geometry from Alexandria. Energies are from PBE.

For the formation energy, the calculation gives 0.044 eV per atom. The total DFT energy (no corrections) is -4.940 eV per atom. As for the offset from the most stable computed form: 0.178 eV/f.u.

It has space group C2/c (No. 15), with a = 15.2797 Å, b = 13.1479 Å, c = 6.5579 Å, α = 90.00°, β = 103.60° and γ = 90.00°. The asymmetric unit holds Nd at (0.0000, 0.0775, 0.2500), Nd at (0.0000, 0.1852, 0.7500), Y at (0.1011, 0.4242, 0.9514), Er at (0.1020, 0.3155, 0.4510), Er at (0.2021, 0.0766, 0.6470) and Er at (0.2018, 0.1856, 0.1512).